VASP calculation (PBE) on crystalline LiCuPt at its relaxed geometry.

## Properties
Offset from the most stable computed form   95 meV per atom
Crystal system   orthorhombic
Calculated volume   13.66 A^3/atom

Cell: 2.677 4.568 13.409 Å, 90.00 90.00 90.00°
Sites, in units of the cell vectors:
Li  0.168  0.096  0.250
Li  0.332  0.904  0.750
Li  0.668  0.404  0.750
Li  0.832  0.596  0.250
Cu  0.016  0.839  0.079
Cu  0.484  0.161  0.579
Cu  0.516  0.661  0.921
Cu  0.984  0.339  0.421
Pt  0.014  0.160  0.907
Pt  0.486  0.840  0.407
Pt  0.514  0.340  0.093
Pt  0.986  0.660  0.593